Entry 1:
Below is a relaxed structure of La2HoHf, with properties calculated at the PBE level.

Cell and atoms, written as POSCAR:
```
La2HoHf
1.0
1.690 0.976 12.319
-1.690 0.976 12.319
0.000 -1.952 12.319
La Ho Hf
2 1 1
Direct
0.083 0.083 0.083
0.917 0.917 0.917
0.500 0.500 0.500
0.000 0.000 0.000
```

Properties
DFT total energy = -5.7232 eV/atom
total magnetization = 0.000 μB/cell



Entry 2:
Below is a relaxed structure of Li6Hg3Pb, with properties calculated at the PBE level.

Cell and atoms, written as POSCAR:
```
Li6Hg3Pb
1.0
3.956 -6.658 0.000
3.956 6.658 0.000
0.000 0.000 7.635
Li Hg Pb
12 6 2
Direct
0.009 0.426 0.974
0.013 0.987 0.500
0.218 0.782 0.154
0.226 0.401 0.311
0.401 0.226 0.811
0.426 0.009 0.474
0.574 0.991 0.974
0.599 0.774 0.311
0.774 0.599 0.811
0.782 0.218 0.654
0.987 0.013 0.000
0.991 0.574 0.474
0.178 0.376 0.668
0.376 0.178 0.168
0.425 0.575 0.009
0.575 0.425 0.509
0.624 0.822 0.668
0.822 0.624 0.168
0.193 0.807 0.774
0.807 0.193 0.274
```

Properties
DFT total energy = -1.8625 eV/atom
total magnetization = 0.000 μB/cell



In the order shown, the computed Fermi-level density of states values come out to 5.89 6.89 states/eV/cell.